[1]
DFT (meta-GGA SCAN) results for a PBEsol-optimized structure of MgTaAg.

Results
Symmetry = No. 216
Crystal system = cubic
Relative energy among the computed polymorphs = 501 meV per atom

Cell and atoms, written as POSCAR:
```
MgTaAg
1.0
0.0000 3.1624 3.1624
3.1624 0.0000 3.1624
3.1624 3.1624 0.0000
Mg Ta Ag
1 1 1
direct
0.0000 0.0000 0.0000
0.2500 0.2500 0.2500
0.5000 0.5000 0.5000
```

***

[2]
DFT (meta-GGA SCAN) results for a PBEsol-optimized structure of MgTa2TiAg.

Results
Electronic total energy = -35.43 eV per atom
Symmetry = No. 123
Crystal system = tetragonal

Cell and atoms, written as POSCAR:
```
MgTa2TiAg
1.0
4.7573 0.0000 0.0000
0.0000 4.7573 0.0000
0.0000 0.0000 4.4607
Mg Ta Ti Ag
1 2 1 1
direct
0.0000 0.0000 0.0000
0.0000 0.5000 0.0000
0.5000 0.0000 0.0000
0.5000 0.5000 0.5000
0.0000 0.0000 0.5000
```

***

[3]
DFT (meta-GGA SCAN) results for a PBEsol-optimized structure of TbMgAg.

Results
Electronic total energy = -28.04 eV per atom
Symmetry = No. 189
Crystal system = hexagonal

Cell and atoms, written as POSCAR:
```
TbMgAg
1.0
7.6283 0.0000 0.0000
-3.8141 6.6063 0.0000
0.0000 0.0000 4.0624
Tb Mg Ag
3 3 3
direct
0.0000 0.4138 0.0000
0.4138 0.0000 0.0000
0.5862 0.5862 0.0000
0.0000 0.7534 0.5000
0.2466 0.2466 0.5000
0.7534 0.0000 0.5000
0.0000 0.0000 0.0000
0.3333 0.6667 0.5000
0.6667 0.3333 0.5000
```

***

[4]
DFT (meta-GGA SCAN) results for a PBEsol-optimized structure of MgTc3Ag.

Results
Electronic total energy = -26.02 eV per atom
Symmetry = No. 221
Crystal system = cubic

Cell and atoms, written as POSCAR:
```
MgTc3Ag
1.0
4.7289 0.0000 0.0000
0.0000 4.7289 0.0000
0.0000 0.0000 4.7289
Mg Tc Ag
1 3 1
direct
0.0000 0.0000 0.0000
0.0000 0.5000 0.5000
0.5000 0.0000 0.5000
0.5000 0.5000 0.0000
0.5000 0.5000 0.5000
```